The following is a GGA-PBE calculation of a relaxed TbCeEr2Tm4 crystal, from Alexandria via LeMat-Bulk.

The structure in POSCAR format:
```
TbCeEr2Tm4
1.0
-1.035 -3.688 3.162
0.734 -3.312 -3.622
10.284 -3.883 -1.161
Er Tm Tb Ce
2 4 1 1
Direct
0.000 0.000 0.000 Er
0.500 0.000 0.500 Er
0.000 0.249 0.251 Tm
0.500 0.749 0.251 Tm
0.500 0.251 0.749 Tm
0.000 0.751 0.749 Tm
0.500 0.500 0.000 Tb
0.000 0.500 0.500 Ce
```

Results
As for the calculated formation energy: 0.046 eV/atom. The calculation puts the spin magnetization at 0.885 μB/f.u. Its crystal system is tetragonal. The calculated total energy is -4.6507 eV per atom. Its space group is P4/mmm.